Entry 1:
This record from Alexandria describes an optimized crystal structure of GdHoSc2. The functional is PBE.

Unit cell a=3.852 b=3.852 c=7.527 alpha=90.00 beta=90.00 gamma=90.00
Positions (direct):
Sc1 0.000 0.000 0.748
Sc2 0.000 0.000 0.252
Gd1 0.500 0.500 0.000
Ho1 0.500 0.500 0.500

Computed properties:
DOS(E_F) = 1.353 states/eV per atom
E above lowest polymorph = 25.7 meV/atom
M_tot = 7.011 μB/f.u.

Entry 2:
This record from Alexandria describes an optimized crystal structure of GdHoSc2. The functional is PBE.

Unit cell a=4.655 b=4.886 c=4.886 alpha=90.00 beta=90.00 gamma=90.00
Positions (direct):
Sc1 0.000 0.500 0.000
Sc2 0.000 0.000 0.500
Gd1 0.500 0.500 0.500
Ho1 0.500 0.000 0.000

Computed properties:
DOS(E_F) = 1.827 states/eV per atom
E above lowest polymorph = 0.0 meV/atom
M_tot = 6.980 μB/f.u.

Entry 3:
This record from Alexandria describes an optimized crystal structure of GdHoSc2. The functional is PBE.

Unit cell a=5.402 b=5.402 c=5.402 alpha=60.00 beta=60.00 gamma=60.00
Positions (direct):
Ho1 0.500 0.500 0.500
Sc1 0.250 0.250 0.250
Sc2 0.750 0.750 0.750
Gd1 0.000 0.000 0.000

Computed properties:
DOS(E_F) = 1.540 states/eV per atom
E above lowest polymorph = 28.7 meV/atom
M_tot = 7.026 μB/f.u.

Entry 4:
This record from Alexandria describes an optimized crystal structure of GdHoScSn. The functional is PBE.

Unit cell a=5.317 b=5.317 c=5.317 alpha=60.00 beta=60.00 gamma=60.00
Positions (direct):
Ho1 0.000 0.000 0.000
Sc1 0.250 0.250 0.250
Gd1 0.500 0.500 0.500
Sn1 0.750 0.750 0.750

Computed properties:
DOS(E_F) = 1.158 states/eV per atom
M_tot = 8.241 μB/f.u.

Entry 5:
This record from Alexandria describes an optimized crystal structure of GdHoThSc. The functional is PBE.

Unit cell a=5.545 b=5.545 c=5.545 alpha=60.00 beta=60.00 gamma=60.00
Positions (direct):
Ho1 0.500 0.500 0.500
Sc1 0.000 0.000 0.000
Th1 0.750 0.750 0.750
Gd1 0.250 0.250 0.250

Computed properties:
DOS(E_F) = 1.724 states/eV per atom
M_tot = 7.403 μB/f.u.

Entry 6:
This record from Alexandria describes an optimized crystal structure of GdHoScTi. The functional is PBE.

Unit cell a=5.268 b=5.268 c=5.268 alpha=60.00 beta=60.00 gamma=60.00
Positions (direct):
Sc1 0.750 0.750 0.750
Ti1 0.250 0.250 0.250
Gd1 0.500 0.500 0.500
Ho1 0.000 0.000 0.000

Computed properties:
DOS(E_F) = 2.122 states/eV per atom
M_tot = 9.275 μB/f.u.

Formation enthalpy at 0 K, record by record: 0.077; 0.052; 0.080; -0.265; 0.103; 0.209 eV per atom
Calculated volume, record by record: 27.92; 27.79; 27.87; 26.57; 30.13; 25.85 Å³/atom